# 1
Density functional theory data (GGA-PBE) for a relaxed Pu2Mg2Pb3 crystal.

Cell: 4.7643 23.9637 3.2782 Å, 90.00 90.00 90.00°
With the nearest neighbours (Å) after each atom.
Space group Cmmm (No. 65)
Unique sites:
Pu1 0.0000 0.0732 0.0000  3 Pu 3.28-3.51, 1 Mg 3.34, 8 Pb 3.38-3.53
Mg1 0.0000 0.2124 0.0000  4 Mg 2.99-3.28, 4 Pb 3.17, 1 Pu 3.34
Pb1 0.0000 0.3421 0.5000  6 Mg 3.17-3.51, 2 Pb 3.28, 4 Pu 3.53
Pb2 0.0000 0.5000 0.5000  2 Pb 3.28, 8 Pu 3.38

Calculated values
- Electronic total energy: -86.74 eV/cell
- ΔH_f (0 K): -0.056 eV per atom
- Magnetic moment: 24.26 μB/cell
- Crystal system: orthorhombic


# 2
Density functional theory data (GGA-PBE) for a relaxed TiIn2Ni crystal.

Cell: 6.5645 6.5645 6.5645 Å, 90.00 90.00 90.00°
With the nearest neighbours (Å) after each atom.
Space group Fm-3m (No. 225)
Unique sites:
Ti1 0.0000 0.0000 0.0000  8 In 2.84
In1 0.2500 0.2500 0.2500  4 Ni 2.84, 4 Ti 2.84
Ni1 0.0000 0.0000 0.5000  8 In 2.84

Calculated values
- Electronic total energy: -76.09 eV/cell
- ΔH_f (0 K): 0.033 eV per atom
- Magnetic moment: 0.02 μB/cell
- Crystal system: cubic